# 1
Pa2PdBr8, optimized geometry, DFT PBE-GGA; mass density = 4.3 g/cm3; uncorrected energy = -4.50 eV/atom; formation energy from raw total energies = -1088 meV/atom; total moment = 2.0 Bohr magnetons per cell
1.0
6.624 -4.216 0.000
6.624 4.216 0.000
-0.988 0.000 8.289
Pa Pd Br
2 1 8
Direct
0.117 0.117 0.320
0.883 0.883 0.680
0.000 0.000 0.000
0.103 0.103 0.667
0.137 0.614 0.864
0.320 0.320 0.411
0.386 0.863 0.136
0.614 0.137 0.864
0.680 0.680 0.589
0.863 0.386 0.136
0.897 0.897 0.333

=====

# 2
Al2Cr4C, optimized geometry, DFT PBE-GGA; mass density = 5.3 g/cm3; uncorrected energy = -7.90 eV/atom; E_form = -0.02 eV per atom; total moment = 0.2 Bohr magnetons per cell
1.0
6.668 0.000 0.000
0.000 8.978 0.000
0.000 0.000 2.856
Al Cr C
4 8 2
Direct
0.059 0.134 0.000
0.441 0.634 0.000
0.559 0.366 0.000
0.941 0.866 0.000
0.141 0.691 0.500
0.173 0.419 0.000
0.327 0.919 0.000
0.359 0.191 0.500
0.641 0.809 0.500
0.673 0.081 0.000
0.827 0.581 0.000
0.859 0.309 0.500
0.000 0.500 0.500
0.500 0.000 0.500

=====

# 3
Sm5Dy6Tm2, optimized geometry, DFT PBE-GGA; mass density = 8.1 g/cm3; uncorrected energy = -4.53 eV/atom; E_form = 0.10 eV per atom; total moment = 0.0 Bohr magnetons per cell
1.0
11.608 0.000 0.000
0.000 20.435 0.000
0.000 0.000 3.578
Sm Dy Tm
10 12 4
Direct
0.000 0.000 0.000
0.085 0.272 0.000
0.198 0.551 0.000
0.302 0.051 0.000
0.415 0.772 0.000
0.500 0.500 0.000
0.585 0.228 0.000
0.698 0.949 0.000
0.802 0.449 0.000
0.915 0.728 0.000
0.061 0.419 0.500
0.081 0.131 0.500
0.174 0.861 0.000
0.326 0.361 0.000
0.419 0.631 0.500
0.439 0.919 0.500
0.561 0.081 0.500
0.581 0.369 0.500
0.674 0.639 0.000
0.826 0.139 0.000
0.919 0.869 0.500
0.939 0.581 0.500
0.171 0.710 0.500
0.329 0.210 0.500
0.671 0.790 0.500
0.829 0.290 0.500

=====

# 4
YPaPbAu, optimized geometry, DFT PBE-GGA; mass density = 11.5 g/cm3; uncorrected energy = -5.95 eV/atom; E_form = -0.21 eV per atom; total moment = 2.6 Bohr magnetons per cell
1.0
0.000 3.743 3.743
3.743 0.000 3.743
3.743 3.743 0.000
Y Pa Pb Au
1 1 1 1
Direct
0.000 0.000 0.000
0.500 0.500 0.500
0.750 0.750 0.750
0.250 0.250 0.250

=====

# 5
Sr2TbPbO6, optimized geometry, DFT PBE-GGA; mass density = 6.7 g/cm3; uncorrected energy = -6.39 eV/atom; formation energy from raw total energies = -2246 meV/atom; total moment = 2.2 Bohr magnetons per cell
1.0
5.997 0.000 0.000
0.000 6.144 0.000
-5.955 0.000 8.533
Sr Tb Pb O
4 2 2 12
Direct
0.235 0.048 0.250
0.235 0.452 0.750
0.765 0.548 0.250
0.765 0.952 0.750
0.500 0.000 0.000
0.500 0.500 0.500
0.000 0.000 0.500
0.000 0.500 0.000
0.145 0.212 0.944
0.145 0.288 0.444
0.236 0.705 0.945
0.236 0.795 0.445
0.350 0.043 0.746
0.350 0.457 0.246
0.650 0.543 0.754
0.650 0.957 0.254
0.764 0.205 0.555
0.764 0.295 0.055
0.855 0.712 0.556
0.855 0.788 0.056

=====

# 6
Rb2HfTlI6, optimized geometry, DFT PBE-GGA; relative energy among the computed polymorphs = 0.025 eV per atom; mass density = 4.5 g/cm3; uncorrected energy = -3.32 eV/atom; formation energy from raw total energies = -964 meV/atom; total moment = 1.0 Bohr magnetons per cell
1.0
0.000 6.245 6.245
6.245 0.000 6.245
6.245 6.245 0.000
Rb Hf Tl I
2 1 1 6
Direct
0.250 0.250 0.250
0.750 0.750 0.750
0.000 0.000 0.000
0.500 0.500 0.500
0.231 0.231 0.769
0.231 0.769 0.231
0.231 0.769 0.769
0.769 0.231 0.231
0.769 0.231 0.769
0.769 0.769 0.231

=====

# 7
AlReBi2Te, optimized geometry, DFT PBE-GGA; mass density = 8.3 g/cm3; uncorrected energy = -4.54 eV/atom; formation energy from raw total energies = 880 meV/atom; total moment = 0.0 Bohr magnetons per cell
1.0
5.452 0.000 0.000
0.000 5.452 0.000
0.000 0.000 5.103
Al Re Bi Te
1 1 2 1
Direct
0.000 0.000 0.000
0.500 0.500 0.500
0.000 0.500 0.500
0.500 0.000 0.500
0.500 0.500 0.000

=====

# 8
NiTeI2N, optimized geometry, DFT PBE-GGA; relative energy among the computed polymorphs = 0.512 eV per atom; mass density = 5.0 g/cm3; uncorrected energy = -2.89 eV/atom; formation energy from raw total energies = 1175 meV/atom; total moment = 1.0 Bohr magnetons per cell
1.0
6.139 0.000 0.000
0.000 6.139 0.000
0.000 0.000 3.973
Ni Te I N
1 1 2 1
Direct
0.000 0.000 0.000
0.500 0.500 0.500
0.000 0.500 0.500
0.500 0.000 0.500
0.500 0.500 0.000